Entry 1:
! ZrCrPb2 | the Alexandria database | PBE | optimized geometry; values from VASP
! Crystal system = tetragonal
! Final energy = -24.6 eV for the cell shown
! Space group = No. 99
! Size of the total moment = 2.53 Bohr magnetons per cell
! Density of states at the Fermi level = 2.81 states/eV/cell
&SYSTEM
  ibrav = 0, nat = 4, ntyp = 3
/
ATOMIC_SPECIES
Zr 91.22 Zr.upf
Cr 52.00 Cr.upf
Pb 207.20 Pb.upf
CELL_PARAMETERS angstrom
3.244 0.000 0.000
0.000 3.244 0.000
0.000 0.000 9.441
ATOMIC_POSITIONS crystal
Zr 0.000 0.000 0.000
Cr 0.500 0.500 0.179
Pb 0.000 0.000 0.390
Pb 0.500 0.500 0.734



Entry 2:
! ZrCrPb2 | the Alexandria database | PBE | optimized geometry; values from VASP
! Crystal system = orthorhombic
! Final energy = -24.5 eV for the cell shown
! Space group = No. 65
! Size of the total moment = 3.87 Bohr magnetons per cell
! Density of states at the Fermi level = 2.66 states/eV/cell
&SYSTEM
  ibrav = 0, nat = 4, ntyp = 3
/
ATOMIC_SPECIES
Zr 91.22 Zr.upf
Cr 52.00 Cr.upf
Pb 207.20 Pb.upf
CELL_PARAMETERS angstrom
2.132 -2.604 0.000
2.132 2.604 0.000
0.000 0.000 8.397
ATOMIC_POSITIONS crystal
Zr 0.000 0.000 0.000
Cr 0.000 0.000 0.500
Pb 0.500 0.500 0.263
Pb 0.500 0.500 0.737